No. 1
# PrEuHoCd

A geometry-optimized PrEuHoCd structure (PBE, Alexandria via LeMat-Bulk).

Computed properties:
Space-group type: F-43m, No. 216
Energy of formation in eV per atom: -0.0138

a b c (Å): 5.585 5.585 5.585
angles (deg): 60.00 60.00 60.00
Positions (direct):
Eu  0.500  0.500  0.500
Pr  0.750  0.750  0.750
Ho  0.250  0.250  0.250
Cd  0.000  0.000  0.000

No. 2
# P2AuS2

A geometry-optimized P2AuS2 structure (PBE, Alexandria via LeMat-Bulk).

Computed properties:
Energy relative to the lowest polymorph listed for this composition in eV/atom: 0.817
Space-group type: P4/mmm, No. 123

a b c (Å): 4.377 4.377 4.758
angles (deg): 90.00 90.00 90.00
Positions (direct):
P  0.000  0.000  0.000
P  0.000  0.000  0.500
S  0.000  0.500  0.000
S  0.500  0.000  0.000
Au  0.500  0.500  0.500

No. 3
# CsRb4Na4

A geometry-optimized CsRb4Na4 structure (PBE, Alexandria via LeMat-Bulk).

Computed properties:
Energy relative to the lowest polymorph listed for this composition in eV/atom: 0.007
Space-group type: P4_2/n, No. 86
Energy of formation in eV per atom: 0.0653

a b c (Å): 8.018 12.250 12.250
angles (deg): 90.00 90.00 90.00
Positions (direct):
Cs  0.000  0.000  0.000
Cs  0.500  0.500  0.500
Rb  0.354  0.416  0.841
Rb  0.854  0.659  0.916
Rb  0.354  0.584  0.159
Rb  0.146  0.084  0.659
Rb  0.646  0.841  0.584
Rb  0.146  0.916  0.341
Rb  0.854  0.341  0.084
Rb  0.646  0.159  0.416
Na  0.602  0.879  0.185
Na  0.602  0.121  0.815
Na  0.102  0.685  0.621
Na  0.898  0.379  0.685
Na  0.898  0.621  0.315
Na  0.398  0.185  0.121
Na  0.398  0.815  0.879
Na  0.102  0.315  0.379

No. 4
# NiMo4C

A geometry-optimized NiMo4C structure (PBE, Alexandria via LeMat-Bulk).

Computed properties:
Space-group type: C2/c, No. 15
Energy of formation in eV per atom: 0.2662

a b c (Å): 5.779 5.269 6.659
angles (deg): 105.78 108.74 106.55
Positions (direct):
Ni  0.383  0.633  0.266
Ni  0.617  0.367  0.734
Mo  0.908  0.278  0.060
Mo  0.652  0.783  0.060
Mo  0.287  0.574  0.602
Mo  0.713  0.426  0.398
Mo  0.185  0.972  0.398
Mo  0.348  0.217  0.940
Mo  0.815  0.028  0.602
Mo  0.092  0.722  0.940
C  0.064  0.814  0.628
C  0.936  0.186  0.372

No. 5
# PuMgNi2P2

A geometry-optimized PuMgNi2P2 structure (PBE, Alexandria via LeMat-Bulk).

Computed properties:
Space-group type: P-3m1, No. 164
Energy of formation in eV per atom: -0.7655

a b c (Å): 3.885 3.885 7.157
angles (deg): 90.00 90.00 120.00
Positions (direct):
Pu  0.000  0.000  0.000
Mg  0.000  0.000  0.500
Ni  0.333  0.667  0.714
Ni  0.667  0.333  0.286
P  0.333  0.667  0.255
P  0.667  0.333  0.745

No. 6
# In3Rh4Au

A geometry-optimized In3Rh4Au structure (PBE, Alexandria via LeMat-Bulk).

Computed properties:
Space-group type: P4/mmm, No. 123
Energy of formation in eV per atom: -0.3068

a b c (Å): 4.553 6.455 9.107
angles (deg): 90.00 90.00 90.00
Positions (direct):
Au  0.000  0.500  0.000
Au  0.000  0.500  0.500
Rh  0.500  0.753  0.000
Rh  0.500  0.753  0.500
Rh  0.500  0.247  0.000
Rh  0.500  0.247  0.500
Rh  0.000  0.753  0.750
Rh  0.000  0.753  0.250
Rh  0.000  0.247  0.250
Rh  0.000  0.247  0.750
In  0.000  0.000  0.000
In  0.000  0.000  0.500
In  0.500  0.000  0.750
In  0.500  0.000  0.250
In  0.500  0.500  0.750
In  0.500  0.500  0.250

No. 7
# BaAgPb2

A geometry-optimized BaAgPb2 structure (PBE, Alexandria via LeMat-Bulk).

Computed properties:
Energy relative to the lowest polymorph listed for this composition in eV/atom: 0.001
Space-group type: Immm, No. 71
Energy of formation in eV per atom: -0.3324

a b c (Å): 5.129 10.458 11.315
angles (deg): 117.52 103.10 90.00
Positions (direct):
Ba  0.705  0.705  0.410
Ba  0.500  0.267  0.000
Ba  0.500  0.733  0.000
Ba  0.295  0.295  0.590
Ag  0.851  0.590  0.703
Ag  0.149  0.410  0.297
Ag  0.149  0.887  0.297
Ag  0.851  0.113  0.703
Pb  0.924  0.424  0.848
Pb  0.689  0.341  0.378
Pb  0.689  0.038  0.378
Pb  0.311  0.659  0.622
Pb  0.085  0.085  0.170
Pb  0.076  0.576  0.152
Pb  0.915  0.915  0.830
Pb  0.311  0.962  0.622

No. 8
# CaFeP2Cl

A geometry-optimized CaFeP2Cl structure (PBE, Alexandria via LeMat-Bulk).

Computed properties:
Energy relative to the lowest polymorph listed for this composition in eV/atom: 1.329
Space-group type: P4/mmm, No. 123

a b c (Å): 5.334 5.334 5.037
angles (deg): 90.00 90.00 90.00
Positions (direct):
P  0.000  0.500  0.000
P  0.500  0.000  0.000
Ca  0.000  0.000  0.000
Fe  0.500  0.500  0.500
Cl  0.000  0.000  0.500

No. 9
# Pm2Ge3RuPt4

A geometry-optimized Pm2Ge3RuPt4 structure (PBE, Alexandria via LeMat-Bulk).

Computed properties:
Space-group type: P-4m2, No. 115
Energy of formation in eV per atom: -0.7395

a b c (Å): 4.263 4.263 10.539
angles (deg): 90.00 90.00 90.00
Positions (direct):
Pm  0.500  0.000  0.250
Pm  0.000  0.500  0.750
Ge  0.000  0.000  0.500
Ge  0.500  0.000  0.868
Ge  0.000  0.500  0.132
Ru  0.500  0.500  0.500
Pt  0.500  0.500  0.000
Pt  0.000  0.000  0.000
Pt  0.500  0.000  0.637
Pt  0.000  0.500  0.363

No. 10
# TaHRu

A geometry-optimized TaHRu structure (PBE, Alexandria via LeMat-Bulk).

Computed properties:
Energy relative to the lowest polymorph listed for this composition in eV/atom: 0.000
Space-group type: C2/m, No. 12

a b c (Å): 2.938 4.901 5.029
angles (deg): 100.24 106.98 90.00
Positions (direct):
Ta  0.889  0.662  0.777
Ta  0.111  0.338  0.223
H  0.236  0.746  0.473
H  0.764  0.254  0.527
Ru  0.624  0.854  0.249
Ru  0.376  0.146  0.751

No. 11
# KInCu2

A geometry-optimized KInCu2 structure (PBE, Alexandria via LeMat-Bulk).

Computed properties:
Energy relative to the lowest polymorph listed for this composition in eV/atom: 0.234
Space-group type: P4/mmm, No. 123
Energy of formation in eV per atom: 0.2786

a b c (Å): 3.578 3.578 7.411
angles (deg): 90.00 90.00 90.01
Positions (direct):
Cu  0.000  0.000  0.085
Cu  0.000  0.000  0.415
In  0.500  0.500  0.250
K  0.500  0.500  0.750

No. 12
# K2YCd

A geometry-optimized K2YCd structure (PBE, Alexandria via LeMat-Bulk).

Computed properties:
Space-group type: P4/mmm, No. 123
Energy of formation in eV per atom: 0.3162

a b c (Å): 3.607 3.607 12.378
angles (deg): 90.00 90.00 90.00
Positions (direct):
Cd  0.500  0.500  0.750
K  0.000  0.000  0.971
K  0.000  0.000  0.529
Y  0.500  0.500  0.250

No. 13
# CaSiAu2

A geometry-optimized CaSiAu2 structure (PBE, Alexandria via LeMat-Bulk).

Computed properties:
Uncorrected energy in Ry per atom: -0.266
Space-group type: C2/m, No. 12

a b c (Å): 5.217 5.823 3.042
angles (deg): 75.77 88.02 116.03
Positions (direct):
Au  0.000  0.000  0.000
Au  0.500  0.000  0.500
Ca  0.000  0.500  0.500
Si  0.500  0.500  0.000

No. 14
# NdErIr2

A geometry-optimized NdErIr2 structure (PBE, Alexandria via LeMat-Bulk).

Computed properties:
Energy relative to the lowest polymorph listed for this composition in eV/atom: 0.000
Space-group type: P4/mmm, No. 123
Energy of formation in eV per atom: -0.6912

a b c (Å): 3.383 3.383 7.295
angles (deg): 90.00 90.00 90.00
Positions (direct):
Ir  0.000  0.000  0.766
Ir  0.000  0.000  0.234
Nd  0.500  0.500  0.500
Er  0.500  0.500  0.000

No. 15
# PmYTm2

A geometry-optimized PmYTm2 structure (PBE, Alexandria via LeMat-Bulk).

Computed properties:
Energy relative to the lowest polymorph listed for this composition in eV/atom: 0.103
Space-group type: Fm-3m, No. 225
Energy of formation in eV per atom: 0.1157

a b c (Å): 5.663 5.663 5.663
angles (deg): 60.00 60.00 60.00
Positions (direct):
Y  0.500  0.500  0.500
Tm  0.250  0.250  0.250
Tm  0.750  0.750  0.750
Pm  0.000  0.000  0.000

No. 16
# NaUPb2

A geometry-optimized NaUPb2 structure (PBE, Alexandria via LeMat-Bulk).

Computed properties:
Space-group type: P4/mmm, No. 123
Energy of formation in eV per atom: 0.0666

a b c (Å): 3.298 3.298 10.120
angles (deg): 90.00 90.00 90.00
Positions (direct):
Pb  0.000  0.000  0.750
Pb  0.000  0.000  0.250
Na  0.500  0.500  0.500
U  0.500  0.500  0.000

No. 17
# Sr2CaCu

A geometry-optimized Sr2CaCu structure (PBE, Alexandria via LeMat-Bulk).

Computed properties:
Energy relative to the lowest polymorph listed for this composition in eV/atom: 0.270
Space-group type: I-4m2, No. 119
Energy of formation in eV per atom: 0.2451

a b c (Å): 6.861 6.861 6.861
angles (deg): 136.85 136.85 62.66
Positions (direct):
Sr  0.000  0.000  0.000
Sr  0.250  0.750  0.500
Ca  0.500  0.500  0.000
Cu  0.750  0.250  0.500

No. 18
# LiPu4In15

A geometry-optimized LiPu4In15 structure (PBE, Alexandria via LeMat-Bulk).

Computed properties:
Space-group type: P4/mmm, No. 123
Energy of formation in eV per atom: -0.1970

a b c (Å): 4.645 4.645 23.376
angles (deg): 90.00 90.00 90.00
Positions (direct):
Li  0.000  0.000  0.000
Pu  0.000  0.000  0.197
Pu  0.000  0.000  0.399
Pu  0.000  0.000  0.601
Pu  0.000  0.000  0.803
In  0.500  0.500  0.000
In  0.500  0.500  0.200
In  0.500  0.500  0.399
In  0.500  0.500  0.601
In  0.500  0.500  0.800
In  0.500  0.000  0.095
In  0.500  0.000  0.299
In  0.500  0.000  0.500
In  0.500  0.000  0.701
In  0.500  0.000  0.905
In  0.000  0.500  0.095
In  0.000  0.500  0.299
In  0.000  0.500  0.500
In  0.000  0.500  0.701
In  0.000  0.500  0.905

No. 19
# Co2BiBBr

A geometry-optimized Co2BiBBr structure (PBE, Alexandria via LeMat-Bulk).

Computed properties:
Uncorrected energy in Ry per atom: -0.326
Space-group type: P4/mmm, No. 123

a b c (Å): 4.032 5.533 4.032
angles (deg): 90.00 90.00 90.00
Positions (direct):
B  0.000  0.000  0.000
Co  0.000  0.000  0.500
Co  0.500  0.000  0.000
Bi  0.500  0.500  0.500
Br  0.000  0.500  0.000

No. 20
# Be3Te

A geometry-optimized Be3Te structure (PBE, Alexandria via LeMat-Bulk).

Computed properties:
Energy relative to the lowest polymorph listed for this composition in eV/atom: 0.224
Space-group type: Pnma, No. 62

a b c (Å): 6.945 5.841 5.654
angles (deg): 90.00 90.00 90.00
Positions (direct):
Be  0.105  0.761  0.750
Be  0.605  0.739  0.250
Be  0.395  0.261  0.750
Be  0.895  0.239  0.250
Be  0.621  0.395  0.065
Be  0.121  0.105  0.935
Be  0.879  0.895  0.435
Be  0.379  0.605  0.565
Be  0.379  0.605  0.935
Be  0.879  0.895  0.065
Be  0.121  0.105  0.565
Be  0.621  0.395  0.435
Te  0.617  0.915  0.750
Te  0.117  0.585  0.250
Te  0.883  0.415  0.750
Te  0.383  0.085  0.250

No. 21
# BaMnNiH2

A geometry-optimized BaMnNiH2 structure (PBE, Alexandria via LeMat-Bulk).

Computed properties:
Uncorrected energy in Ry per atom: -0.263
Space-group type: P4/mmm, No. 123

a b c (Å): 4.301 7.084 4.301
angles (deg): 90.00 90.00 90.00
Positions (direct):
Ni  0.500  0.500  0.500
Mn  0.000  0.500  0.000
Ba  0.000  0.000  0.000
H  0.000  0.000  0.500
H  0.500  0.000  0.000

No. 22
# MgVWS4

A geometry-optimized MgVWS4 structure (PBE, Alexandria via LeMat-Bulk).

Computed properties:
Energy relative to the lowest polymorph listed for this composition in eV/atom: 0.000
Space-group type: Imm2, No. 44

a b c (Å): 7.381 6.922 6.922
angles (deg): 65.44 57.78 57.78
Positions (direct):
S  0.726  0.743  0.742
S  0.230  0.265  0.775
S  0.230  0.775  0.265
S  0.728  0.210  0.209
S  0.773  0.278  0.676
S  0.289  0.743  0.742
S  0.353  0.210  0.209
S  0.773  0.676  0.278
Mg  0.868  0.882  0.883
Mg  0.010  0.239  0.240
W  0.461  0.475  0.475
W  0.088  0.475  0.475
V  0.485  0.511  0.019
V  0.485  0.019  0.511

| no. | theoretical density (kg/m3) |
| --- | --- |
| 1 | 7688 |
| 2 | 5886 |
| 3 | 1564 |
| 4 | 8949 |
| 5 | 7946 |
| 6 | 11824 |
| 7 | 8420 |
| 8 | 2240 |
| 9 | 12044 |
| 10 | 13817 |
| 11 | 4918 |
| 12 | 2881 |
| 13 | 9664 |
| 14 | 13841 |
| 15 | 7394 |
| 16 | 10191 |
| 17 | 3103 |
| 18 | 8906 |
| 19 | 7709 |
| 20 | 4478 |
| 21 | 3206 |
| 22 | 5169 |